# 1
The following is a PBE calculation of GeTeSI2 after structural relaxation, from Alexandria via LeMat-Bulk.

```
5
Lattice="5.733 0.000 0.000 0.000 5.733 0.000 0.000 0.000 5.577" Properties=species:S:1:pos:R:3 pbc="T T T"
Ge 0.000 0.000 0.000
Te 0.000 0.000 2.788
S 2.866 2.866 2.788
I 0.000 2.866 0.000
I 2.866 0.000 0.000
```

Output
* symmetry: P4/mmm
* M_tot: 3.25 Bohr magnetons per cell
* energy above the most stable polymorph in this dataset: 74 meV/atom
* V: 36.7 Å³/atom
* E: -0.17210 Ry/atom

# 2
The following is a PBE calculation of GeTe2SI after structural relaxation, from Alexandria via LeMat-Bulk.

```
5
Lattice="5.459 0.000 0.000 0.000 5.459 0.000 0.000 0.000 5.598" Properties=species:S:1:pos:R:3 pbc="T T T"
Ge 0.000 0.000 0.000
Te 0.000 2.729 0.000
Te 2.729 0.000 0.000
S 2.729 2.729 2.799
I 0.000 0.000 2.799
```

Output
* symmetry: P4/mmm
* M_tot: 1.77 Bohr magnetons per cell
* energy above the most stable polymorph in this dataset: 222 meV/atom
* V: 33.4 Å³/atom
* E: -0.18688 Ry/atom

# 3
The following is a PBE calculation of GeTeSI2 after structural relaxation, from Alexandria via LeMat-Bulk.

```
5
Lattice="5.471 0.000 0.000 0.000 5.471 0.000 0.000 0.000 5.403" Properties=species:S:1:pos:R:3 pbc="T T T"
Ge 0.000 0.000 0.000
Te 2.735 2.735 0.000
S 2.735 2.735 2.702
I 0.000 2.735 2.702
I 2.735 0.000 2.702
```

Output
* symmetry: P4/mmm
* M_tot: 0.00 Bohr magnetons per cell
* energy above the most stable polymorph in this dataset: 0 meV/atom
* V: 32.3 Å³/atom
* E: -0.17752 Ry/atom

# 4
The following is a PBE calculation of GeTe2SI after structural relaxation, from Alexandria via LeMat-Bulk.

```
5
Lattice="5.259 0.000 0.000 0.000 5.259 0.000 0.000 0.000 5.551" Properties=species:S:1:pos:R:3 pbc="T T T"
Ge 0.000 0.000 0.000
Te 0.000 2.630 2.776
Te 2.630 0.000 2.776
S 2.630 2.630 2.776
I 2.630 2.630 0.000
```

Output
* symmetry: P4/mmm
* M_tot: 0.00 Bohr magnetons per cell
* energy above the most stable polymorph in this dataset: 0 meV/atom
* V: 30.7 Å³/atom
* E: -0.20323 Ry/atom

# 5
The following is a PBE calculation of GeSb2I after structural relaxation, from Alexandria via LeMat-Bulk.

```
8
Lattice="-4.389 4.389 3.094 4.389 -4.389 3.094 4.389 4.389 -3.094" Properties=species:S:1:pos:R:3 pbc="T T T"
Ge 0.000 0.000 0.000
Ge 0.000 4.389 1.547
Sb 6.583 1.759 -0.773
Sb 1.759 2.194 0.773
Sb -2.194 2.630 2.320
Sb 2.630 2.194 3.867
I 4.389 0.000 1.547
I 0.000 0.000 3.094
```

Output
* symmetry: I-42d
* M_tot: 0.00 Bohr magnetons per cell
* energy above the most stable polymorph in this dataset: 153 meV/atom
* V: 29.8 Å³/atom
* E: -0.24685 Ry/atom

# 6
The following is a PBE calculation of GeSb2I after structural relaxation, from Alexandria via LeMat-Bulk.

```
4
Lattice="0.000 3.767 3.767 3.767 0.000 3.767 3.767 3.767 0.000" Properties=species:S:1:pos:R:3 pbc="T T T"
Ge 0.000 0.000 0.000
Sb 1.883 1.883 1.883
Sb 5.650 5.650 5.650
I 3.767 3.767 3.767
```

Output
* symmetry: Fm-3m
* M_tot: 0.00 Bohr magnetons per cell
* energy above the most stable polymorph in this dataset: 350 meV/atom
* V: 26.7 Å³/atom
* E: -0.23237 Ry/atom

# 7
The following is a PBE calculation of Ge3SbI after structural relaxation, from Alexandria via LeMat-Bulk.

```
5
Lattice="5.486 0.000 0.000 0.000 5.486 0.000 0.000 0.000 5.486" Properties=species:S:1:pos:R:3 pbc="T T T"
Ge 0.000 0.000 2.743
Ge 0.000 2.743 0.000
Ge 2.743 0.000 0.000
Sb 0.000 0.000 0.000
I 2.743 2.743 2.743
```

Output
* symmetry: Pm-3m
* M_tot: 0.00 Bohr magnetons per cell
* energy above the most stable polymorph in this dataset: 0 meV/atom
* V: 33.0 Å³/atom
* E: -0.22700 Ry/atom

# 8
The following is a PBE calculation of GeSb2I after structural relaxation, from Alexandria via LeMat-Bulk.

```
8
Lattice="6.263 0.000 0.000 0.000 7.306 0.000 -0.729 0.000 6.330" Properties=species:S:1:pos:R:3 pbc="T T T"
Ge 0.000 1.752 0.000
Ge 0.000 5.554 0.000
Sb -0.137 3.653 4.422
Sb 1.888 0.000 0.931
Sb 3.696 0.000 5.343
Sb 5.109 3.653 1.583
I 2.903 3.653 4.572
I 5.841 0.000 3.099
```

Output
* symmetry: Pm
* M_tot: 0.00 Bohr magnetons per cell
* energy above the most stable polymorph in this dataset: 0 meV/atom
* V: 36.2 Å³/atom
* E: -0.25808 Ry/atom

# 9
The following is a PBE calculation of GeSb2I8 after structural relaxation, from Alexandria via LeMat-Bulk.

```
11
Lattice="10.800 -2.061 0.000 10.800 2.061 0.000 -0.241 0.000 11.126" Properties=species:S:1:pos:R:3 pbc="T T T"
Ge 0.000 0.000 0.000
Sb 7.380 0.000 8.238
Sb 13.977 0.000 2.888
I 2.042 0.000 4.863
I 2.995 0.000 0.439
I 5.524 0.000 3.269
I 10.682 0.000 2.181
I 10.676 0.000 8.945
I 15.834 0.000 7.857
I 18.363 0.000 10.687
I 19.315 0.000 6.263
```

Output
* symmetry: C2/m
* M_tot: 0.00 Bohr magnetons per cell
* energy above the most stable polymorph in this dataset: 5 meV/atom
* V: 45.0 Å³/atom
* E: -0.18710 Ry/atom

# 10
The following is a PBE calculation of Ge2SbI8 after structural relaxation, from Alexandria via LeMat-Bulk.

```
11
Lattice="7.334 -4.879 0.000 7.334 4.879 0.000 -0.434 0.000 8.250" Properties=species:S:1:pos:R:3 pbc="T T T"
Ge 2.376 0.000 3.058
Ge 11.860 0.000 5.192
Sb 0.000 0.000 0.000
I 5.086 2.779 6.987
I 1.199 0.000 5.726
I 9.149 2.779 1.263
I 4.983 0.000 3.170
I 9.252 0.000 5.080
I 5.086 -2.779 6.987
I 13.036 0.000 2.524
I 9.149 -2.779 1.263
```

Output
* symmetry: C2/m
* M_tot: 0.00 Bohr magnetons per cell
* V: 53.7 Å³/atom
* E: -0.18821 Ry/atom

# 11
The following is a PBE calculation of Ge2SbI after structural relaxation, from Alexandria via LeMat-Bulk.

```
8
Lattice="-3.821 3.821 4.599 3.821 -3.821 4.599 3.821 3.821 -4.599" Properties=species:S:1:pos:R:3 pbc="T T T"
Ge 5.731 1.654 -1.150
Ge 1.654 1.910 1.150
Ge -1.910 2.167 3.449
Ge 2.167 1.910 5.749
Sb 0.000 0.000 0.000
Sb 0.000 3.821 2.300
I 3.821 0.000 2.300
I 0.000 0.000 4.599
```

Output
* symmetry: I-42d
* M_tot: 0.00 Bohr magnetons per cell
* energy above the most stable polymorph in this dataset: 158 meV/atom
* V: 33.6 Å³/atom
* E: -0.25053 Ry/atom

# 12
The following is a PBE calculation of Ge2SbI after structural relaxation, from Alexandria via LeMat-Bulk.

```
4
Lattice="2.222 1.283 8.260 -2.222 1.283 8.260 0.000 -2.566 8.260" Properties=species:S:1:pos:R:3 pbc="T T T"
Ge 0.000 0.000 2.819
Ge 0.000 0.000 21.961
Sb 0.000 0.000 12.390
I 0.000 0.000 0.000
```

Output
* symmetry: R-3m
* M_tot: 0.00 Bohr magnetons per cell
* energy above the most stable polymorph in this dataset: 0 meV/atom
* V: 35.3 Å³/atom
* E: -0.26217 Ry/atom

# 13
The following is a PBE calculation of GeSb3I after structural relaxation, from Alexandria via LeMat-Bulk.

```
10
Lattice="6.309 0.000 0.000 0.000 8.416 0.000 -1.283 0.000 6.307" Properties=species:S:1:pos:R:3 pbc="T T T"
Ge 0.000 0.000 0.000
Ge 0.000 4.208 0.000
Sb 0.305 2.104 2.031
Sb 0.232 2.104 4.997
Sb 1.903 6.312 0.759
Sb 3.123 2.104 5.548
Sb 4.794 6.312 1.310
Sb 4.722 6.312 4.276
I 1.542 6.312 4.004
I 3.484 2.104 2.303
```

Output
* symmetry: P2_1/m
* M_tot: 0.00 Bohr magnetons per cell
* energy above the most stable polymorph in this dataset: 0 meV/atom
* V: 33.5 Å³/atom
* E: -0.25836 Ry/atom

# 14
The following is a PBE calculation of GeSbI after structural relaxation, from Alexandria via LeMat-Bulk.

```
6
Lattice="4.248 0.000 0.000 -0.008 7.091 0.000 -2.117 -3.297 7.255" Properties=species:S:1:pos:R:3 pbc="T T T"
Ge 0.006 -0.802 2.673
Ge 2.117 4.596 4.582
Sb 0.001 -0.985 5.411
Sb 2.122 4.779 1.845
I 0.000 1.607 1.618
I 2.123 2.187 5.638
```

Output
* symmetry: P-1
* M_tot: 0.00 Bohr magnetons per cell
* energy above the most stable polymorph in this dataset: 0 meV/atom
* V: 36.4 Å³/atom
* E: -0.25320 Ry/atom

# 15
The following is a PBE calculation of GeSb3I after structural relaxation, from Alexandria via LeMat-Bulk.

```
5
Lattice="5.739 0.000 0.000 0.000 5.739 0.000 0.000 0.000 5.739" Properties=species:S:1:pos:R:3 pbc="T T T"
Ge 0.000 0.000 0.000
Sb 0.000 2.869 2.869
Sb 2.869 0.000 2.869
Sb 2.869 2.869 0.000
I 2.869 2.869 2.869
```

Output
* symmetry: Pm-3m
* M_tot: 0.00 Bohr magnetons per cell
* energy above the most stable polymorph in this dataset: 1062 meV/atom
* V: 37.8 Å³/atom
* E: -0.18033 Ry/atom

# 16
The following is a PBE calculation of GeSb2I8 after structural relaxation, from Alexandria via LeMat-Bulk.

```
11
Lattice="6.831 -5.174 0.000 6.831 5.174 0.000 -0.950 0.000 9.040" Properties=species:S:1:pos:R:3 pbc="T T T"
Ge 0.000 0.000 0.000
Sb 1.630 0.000 3.363
Sb 11.082 0.000 5.678
I 4.117 3.095 7.666
I 0.679 0.000 6.534
I 8.595 3.095 1.375
I 4.345 0.000 4.039
I 8.366 0.000 5.001
I 4.117 -3.095 7.666
I 12.033 0.000 2.506
I 8.595 -3.095 1.375
```

Output
* symmetry: C2/m
* M_tot: 0.00 Bohr magnetons per cell
* energy above the most stable polymorph in this dataset: 0 meV/atom
* V: 58.1 Å³/atom
* E: -0.18747 Ry/atom

# 17
The following is a PBE calculation of GeSb3I after structural relaxation, from Alexandria via LeMat-Bulk.

```
5
Lattice="5.434 0.000 0.000 0.000 5.434 0.000 0.000 0.000 5.434" Properties=species:S:1:pos:R:3 pbc="T T T"
Ge 0.000 0.000 0.000
Sb 0.000 0.000 2.717
Sb 0.000 2.717 0.000
Sb 2.717 0.000 0.000
I 2.717 2.717 2.717
```

Output
* symmetry: Pm-3m
* M_tot: 0.00 Bohr magnetons per cell
* energy above the most stable polymorph in this dataset: 415 meV/atom
* V: 32.1 Å³/atom
* E: -0.22784 Ry/atom

# 18
The following is a PBE calculation of Ge2Sb4I3 after structural relaxation, from Alexandria via LeMat-Bulk.

```
18
Lattice="7.836 -6.188 0.000 7.836 6.188 0.000 -0.986 0.000 6.634" Properties=species:S:1:pos:R:3 pbc="T T T"
Ge 3.266 1.563 0.040
Ge 2.773 -1.563 3.357
Ge 11.913 1.563 3.277
Ge 11.420 -1.563 6.594
Sb 2.217 0.960 2.549
Sb 5.812 2.257 0.471
Sb 1.724 -0.960 5.866
Sb 9.366 2.257 2.846
Sb 5.319 -2.257 3.787
Sb 12.961 0.960 0.767
Sb 8.873 -2.257 6.163
Sb 12.468 -0.960 4.084
I 7.589 5.495 1.658
I 5.052 1.656 3.740
I 5.545 -1.656 0.423
I 9.141 1.656 6.210
I 9.634 -1.656 2.893
I 7.096 -5.495 4.975
```

Output
* symmetry: C2/c
* M_tot: 0.00 Bohr magnetons per cell
* V: 35.7 Å³/atom
* E: -0.24257 Ry/atom

# 19
The following is a PBE calculation of GeSb5I2 after structural relaxation, from Alexandria via LeMat-Bulk.

```
8
Lattice="6.024 0.000 0.000 -0.561 6.003 0.000 -2.821 -2.912 8.376" Properties=species:S:1:pos:R:3 pbc="T T T"
Ge 0.000 0.000 0.000
Sb -0.929 3.378 3.614
Sb -0.267 0.243 2.820
Sb 2.721 3.003 1.987
Sb 2.578 0.609 3.623
Sb 2.498 3.214 4.912
I -2.770 -0.223 7.819
I -0.032 2.779 7.826
```

Output
* symmetry: P1
* M_tot: 0.00 Bohr magnetons per cell
* V: 37.9 Å³/atom
* E: -0.25787 Ry/atom

# 20
The following is a PBE calculation of GeSbI after structural relaxation, from Alexandria via LeMat-Bulk.

```
3
Lattice="4.211 0.000 0.000 -2.106 3.647 0.000 0.000 0.000 6.087" Properties=species:S:1:pos:R:3 pbc="T T T"
Ge 0.000 0.000 0.000
Sb 2.106 1.216 1.237
I 0.000 2.431 3.793
```

Output
* symmetry: P3m1
* M_tot: 0.00 Bohr magnetons per cell
* energy above the most stable polymorph in this dataset: 144 meV/atom
* V: 31.2 Å³/atom
* E: -0.24262 Ry/atom

# 21
The following is a PBE calculation of Ge2SbI after structural relaxation, from Alexandria via LeMat-Bulk.

```
4
Lattice="0.000 3.709 3.709 3.709 0.000 3.709 3.709 3.709 0.000" Properties=species:S:1:pos:R:3 pbc="T T T"
Ge 1.854 1.854 1.854
Ge 5.563 5.563 5.563
Sb 0.000 0.000 0.000
I 3.709 3.709 3.709
```

Output
* symmetry: Fm-3m
* M_tot: 0.00 Bohr magnetons per cell
* energy above the most stable polymorph in this dataset: 217 meV/atom
* V: 25.5 Å³/atom
* E: -0.24619 Ry/atom

# 22
The following is a PBE calculation of GeSbI after structural relaxation, from Alexandria via LeMat-Bulk.

```
6
Lattice="5.789 0.000 0.000 -2.598 5.434 0.000 -1.351 -0.917 6.110" Properties=species:S:1:pos:R:3 pbc="T T T"
Ge 0.000 0.000 0.000
Ge 1.857 0.976 1.618
Sb -2.873 4.844 3.482
Sb 1.179 3.959 1.385
I -0.965 2.474 3.544
I 2.439 1.008 5.763
```

Output
* symmetry: P1
* M_tot: 0.00 Bohr magnetons per cell
* energy above the most stable polymorph in this dataset: 95 meV/atom
* V: 32.0 Å³/atom
* E: -0.24618 Ry/atom

# 23
The following is a PBE calculation of GeSb2SeI after structural relaxation, from Alexandria via LeMat-Bulk.

```
5
Lattice="5.439 0.000 0.000 0.000 5.439 0.000 0.000 0.000 5.700" Properties=species:S:1:pos:R:3 pbc="T T T"
Ge 0.000 0.000 0.000
Sb 0.000 2.720 2.850
Sb 2.720 0.000 2.850
Se 2.720 2.720 2.850
I 2.720 2.720 0.000
```

Output
* symmetry: P4/mmm
* M_tot: 0.00 Bohr magnetons per cell
* energy above the most stable polymorph in this dataset: 91 meV/atom
* V: 33.7 Å³/atom
* E: -0.20589 Ry/atom

# 24
The following is a PBE calculation of GeSbSeI2 after structural relaxation, from Alexandria via LeMat-Bulk.

```
5
Lattice="5.519 0.000 0.000 0.000 5.519 0.000 0.000 0.000 5.774" Properties=species:S:1:pos:R:3 pbc="T T T"
Ge 0.000 0.000 0.000
Sb 0.000 0.000 2.887
Se 2.760 2.760 2.887
I 0.000 2.760 0.000
I 2.760 0.000 0.000
```

Output
* symmetry: P4/mmm
* M_tot: 0.55 Bohr magnetons per cell
* energy above the most stable polymorph in this dataset: 0 meV/atom
* V: 35.2 Å³/atom
* E: -0.18442 Ry/atom

# 25
The following is a PBE calculation of GeSb2SeI after structural relaxation, from Alexandria via LeMat-Bulk.

```
5
Lattice="5.487 0.000 0.000 0.000 5.487 0.000 0.000 0.000 5.356" Properties=species:S:1:pos:R:3 pbc="T T T"
Ge 0.000 0.000 0.000
Sb 0.000 2.743 0.000
Sb 2.743 0.000 0.000
Se 2.743 2.743 2.678
I 0.000 0.000 2.678
```

Output
* symmetry: P4/mmm
* M_tot: 0.04 Bohr magnetons per cell
* energy above the most stable polymorph in this dataset: 0 meV/atom
* V: 32.2 Å³/atom
* E: -0.21255 Ry/atom

# 26
The following is a PBE calculation of GeSbSeI2 after structural relaxation, from Alexandria via LeMat-Bulk.

```
5
Lattice="5.676 0.000 0.000 0.000 5.676 0.000 0.000 0.000 5.563" Properties=species:S:1:pos:R:3 pbc="T T T"
Ge 0.000 0.000 0.000
Sb 2.838 2.838 0.000
Se 2.838 2.838 2.782
I 0.000 2.838 2.782
I 2.838 0.000 2.782
```

Output
* symmetry: P4/mmm
* M_tot: 0.00 Bohr magnetons per cell
* energy above the most stable polymorph in this dataset: 127 meV/atom
* V: 35.8 Å³/atom
* E: -0.17510 Ry/atom